20
Lattice="9.3563 0.0000 0.0000 0.0000 9.3563 0.0000 0.0000 0.0000 2.9419" Properties=species:S:1:pos:R:3 comment="Mg2B2PIr5 PBE relaxed" total_magnetization_mub_per_fu=0.0 final_energy_ev_per_cell=-141.91 spacegroup="P4/mbm (127)" pbc="T T T"
Mg 1.6320 3.0462 0.0000
Mg 3.0462 7.7244 0.0000
Mg 6.3102 1.6320 0.0000
Mg 7.7244 6.3102 0.0000
B 1.1826 5.8607 0.0000
B 3.4956 1.1826 0.0000
B 5.8607 8.1738 0.0000
B 8.1738 3.4956 0.0000
P 0.0000 0.0000 0.0000
P 4.6782 4.6782 0.0000
Ir 0.0000 4.6782 1.4710
Ir 0.6830 7.3975 1.4710
Ir 1.9588 0.6830 1.4710
Ir 2.7194 5.3611 1.4710
Ir 3.9952 2.7194 1.4710
Ir 4.6782 0.0000 1.4710
Ir 5.3611 6.6370 1.4710
Ir 6.6370 3.9952 1.4710
Ir 7.3975 8.6734 1.4710
Ir 8.6734 1.9588 1.4710